Nd2MnCo10: optimized geometry, PBE.

a = 6.8171 Å, b = 11.9497 Å, c = 4.9897 Å
α = 90.00°, β = 90.00°, γ = 90.00°
Fractional coordinates of all 26 atoms:
Nd1 0.2369 0.0931 0.0000
Nd2 0.2631 0.5931 0.0000
Nd3 0.7369 0.4069 0.0000
Nd4 0.7631 0.9069 0.0000
Mn1 0.0000 0.5000 0.5000
Mn2 0.5000 0.0000 0.5000
Co1 0.0150 0.1720 0.5000
Co2 0.1527 0.6737 0.5000
Co3 0.1659 0.9868 0.5000
Co4 0.1738 0.3368 0.2425
Co5 0.1738 0.3368 0.7575
Co6 0.3262 0.8368 0.2425
Co7 0.3262 0.8368 0.7575
Co8 0.3341 0.4868 0.5000
Co9 0.3473 0.1737 0.5000
Co10 0.4850 0.6720 0.5000
Co11 0.5150 0.3280 0.5000
Co12 0.6527 0.8263 0.5000
Co13 0.6659 0.5132 0.5000
Co14 0.6738 0.1632 0.2425
Co15 0.6738 0.1632 0.7575
Co16 0.8262 0.6632 0.2425
Co17 0.8262 0.6632 0.7575
Co18 0.8341 0.0132 0.5000
Co19 0.8473 0.3263 0.5000
Co20 0.9850 0.8280 0.5000

* energy of formation from the pure elements: 0.21 eV/atom

=====

Nd3Mn2Co7: optimized geometry, PBE.

a = 8.4750 Å, b = 8.4750 Å, c = 8.4750 Å
α = 35.65°, β = 35.65°, γ = 35.65°
Fractional coordinates of all 12 atoms:
Nd1 0.0000 0.0000 0.0000
Nd2 0.1405 0.1405 0.1405
Nd3 0.8595 0.8595 0.8595
Mn1 0.3332 0.3332 0.3332
Mn2 0.6668 0.6668 0.6668
Co1 0.0828 0.5795 0.5795
Co2 0.4205 0.4205 0.9172
Co3 0.4205 0.9172 0.4205
Co4 0.5000 0.5000 0.5000
Co5 0.5795 0.0828 0.5795
Co6 0.5795 0.5795 0.0828
Co7 0.9172 0.4205 0.4205

* energy of formation from the pure elements: -0.03 eV/atom

=====

Nd3MnCo8: optimized geometry, PBE.

a = 8.8417 Å, b = 8.8417 Å, c = 8.8417 Å
α = 33.27°, β = 33.27°, γ = 33.27°
Fractional coordinates of all 12 atoms:
Nd1 0.0000 0.0000 0.0000
Nd2 0.1276 0.1276 0.1276
Nd3 0.5090 0.5090 0.5090
Mn1 0.6299 0.6299 0.6299
Co1 0.0549 0.5660 0.5660
Co2 0.0677 0.0677 0.5720
Co3 0.0677 0.5720 0.0677
Co4 0.3146 0.3146 0.3146
Co5 0.5660 0.0549 0.5660
Co6 0.5660 0.5660 0.0549
Co7 0.5720 0.0677 0.0677
Co8 0.8160 0.8160 0.8160

* energy of formation from the pure elements: 0.01 eV/atom

=====

Nd2MnCo: optimized geometry, PBE.

a = 9.9068 Å, b = 9.9068 Å, c = 9.9068 Å
α = 21.03°, β = 21.03°, γ = 21.03°
Fractional coordinates of all 4 atoms:
Nd1 0.1070 0.1070 0.1070
Nd2 0.8930 0.8930 0.8930
Mn1 0.0000 0.0000 0.0000
Co1 0.5000 0.5000 0.5000

* energy of formation from the pure elements: 0.62 eV/atom

=====

Nd2MnCo16: optimized geometry, PBE.

a = 6.3303 Å, b = 6.3303 Å, c = 6.3303 Å
α = 83.27°, β = 83.27°, γ = 83.27°
Fractional coordinates of all 19 atoms:
Nd1 0.0000 0.0000 0.0000
Nd2 0.3087 0.3087 0.3087
Mn1 0.5584 0.5584 0.5584
Co1 0.1505 0.6578 0.6578
Co2 0.3096 0.3096 0.8047
Co3 0.3096 0.8047 0.3096
Co4 0.3700 0.6560 0.9406
Co5 0.3700 0.9406 0.6560
Co6 0.5057 0.9979 0.9980
Co7 0.6560 0.3700 0.9406
Co8 0.6560 0.9406 0.3700
Co9 0.6578 0.1505 0.6578
Co10 0.6578 0.6578 0.1505
Co11 0.7557 0.7557 0.7557
Co12 0.8047 0.3096 0.3096
Co13 0.9406 0.3700 0.6560
Co14 0.9406 0.6560 0.3700
Co15 0.9980 0.5057 0.9980
Co16 0.9980 0.9980 0.5057

* energy of formation from the pure elements: -0.06 eV/atom

=====

NdMn2Co9: optimized geometry, PBE.

a = 8.2701 Å, b = 8.2701 Å, c = 8.2701 Å
α = 34.22°, β = 34.22°, γ = 34.22°
Fractional coordinates of all 12 atoms:
Nd1 0.0000 0.0000 0.0000
Mn1 0.1453 0.1453 0.1453
Mn2 0.8547 0.8547 0.8547
Co1 0.0778 0.5921 0.5921
Co2 0.3362 0.3362 0.3362
Co3 0.4078 0.4079 0.9222
Co4 0.4078 0.9222 0.4078
Co5 0.5000 0.5000 0.5000
Co6 0.5921 0.0778 0.5921
Co7 0.5921 0.5921 0.0778
Co8 0.6638 0.6638 0.6638
Co9 0.9222 0.4078 0.4078

* energy of formation from the pure elements: 0.03 eV/atom

=====

NdMnCoP2: optimized geometry, PBE.

a = 5.8389 Å, b = 5.8389 Å, c = 5.8389 Å
α = 141.57°, β = 141.57°, γ = 55.48°
Fractional coordinates of all 5 atoms:
Nd1 0.0000 0.0000 0.0000
Mn1 0.2500 0.7500 0.5000
Co1 0.7500 0.2500 0.5000
P1 0.3577 0.3577 0.0000
P2 0.6423 0.6423 0.0000

* energy of formation from the pure elements: -0.97 eV/atom

=====

MnCo2Ni: optimized geometry, PBE.

a = 4.0378 Å, b = 4.0378 Å, c = 4.0378 Å
α = 60.00°, β = 60.00°, γ = 60.00°
Fractional coordinates of all 4 atoms:
Mn1 0.0000 0.0000 0.0000
Co1 0.2500 0.2500 0.2500
Co2 0.5000 0.5000 0.5000
Ni1 0.7500 0.7500 0.7500

* energy of formation from the pure elements: 0.09 eV/atom

=====

Per-record ρ, Mg/m³: 7.6; 8.6; 8.6; 6.1; 8.6; 8.2; 7.0; 8.3
Per-record D(E_F), states/eV/atom: 1.052; 1.102; 1.507; 0.898; 1.026; 1.168; 0.476; 1.794